Here is a relaxed structure of Hf2TiGaO from Alexandria. Energies are from PBE.

The structure belongs to space group P4/mmm (No. 123); the cell edges are 4.444, 4.444 and 3.987 Å and the angles 90.00°, 90.00° and 90.00°. The inequivalent atoms are Hf at (0.000, 0.500, 0.000), Ti at (0.000, 0.000, 0.500), Ga at (0.500, 0.500, 0.500) and O at (0.000, 0.000, 0.000).

The raw formation energy comes out at -1.10 eV/atom.